First-principles (PBE-GGA) data for a relaxed structure of In2W, as listed in Alexandria.

a = 5.4294 Å, b = 5.4294 Å, c = 5.4294 Å
α = 147.07°, β = 136.14°, γ = 55.92°
Fractional positions:
In 0.6589 0.6589 0.0000
In 0.3411 0.3411 0.0000
W 0.0000 0.0000 0.0000

For the spin magnetization, the calculation gives 0.000 μB/cell. The value obtained for the formation energy from the elements is 685 meV/atom. As for the total energy: -16.4 eV per cell. The space group is Immm, No. 71.